[1]
VASP calculation (PBE) on crystalline ErMgAs at its relaxed geometry.

The space group is Fddd (No. 70, origin choice 2) and the conventional cell measures 9.653, 10.068 and 13.150 Å, with angles of 90.00, 90.00 and 90.00 degrees. The asymmetric unit holds Er at (0.125, 0.125, 0.273), Mg at (0.000, 0.000, 0.500) and As at (0.125, 0.330, 0.125).

The calculation puts the formation energy from the elements at -0.55 eV per atom. The total magnetic moment is 0.00 μB per formula unit.

=====

[2]
VASP calculation (PBE) on crystalline BeCrBr2 at its relaxed geometry.

The space group is Pmmm (No. 47) and the conventional cell measures 3.631, 3.804 and 6.641 Å, with angles of 90.00, 90.00 and 90.00 degrees. The asymmetric unit holds Be at (0.000, 0.000, 0.000), Cr at (0.500, 0.000, 0.500), Br at (0.000, 0.500, 0.500) and Br at (0.500, 0.500, 0.000).

Its polymorph energy (0 for the lowest one) is 47.38 kJ per mole of atoms. The calculation puts the formation energy (no corrections) at 0.418 eV/atom. The total magnetic moment is 4.76 μB per formula unit.

=====

[3]
VASP calculation (PBE) on crystalline HgPdS at its relaxed geometry.

The space group is R3 (No. 146, hexagonal axes) and the conventional cell measures 6.5016, 6.5016 and 15.3442 Å, with angles of 90.00, 90.00 and 120.00 degrees. The asymmetric unit holds Hg at (0.0263, 0.6905, 0.0000), Pd at (0.0000, 0.0000, 0.2113), Pd at (0.0000, 0.0000, 0.5560), Pd at (0.0000, 0.0000, 0.7720) and S at (0.0243, 0.3380, 0.1435).

Its polymorph energy (0 for the lowest one) is 14.06 kJ per mole of atoms. The calculation puts the formation energy (no corrections) at -0.066 eV/atom. The total magnetic moment is 0.00 μB per formula unit.

=====

[4]
VASP calculation (PBE) on crystalline V2CrGe at its relaxed geometry.

The space group is P4/mmm (No. 123) and the conventional cell measures 3.746, 3.746 and 3.731 Å, with angles of 90.00, 90.00 and 90.00 degrees. The asymmetric unit holds V at (0.000, 0.500, 0.000), Cr at (0.000, 0.000, 0.500) and Ge at (0.500, 0.500, 0.500).

The calculation puts the formation energy from the elements at -0.15 eV per atom. The total magnetic moment is 0.00 μB per formula unit.

=====

[5]
VASP calculation (PBE) on crystalline Hf6GaS at its relaxed geometry.

The space group is P-1 (No. 2) and the conventional cell measures 5.788, 5.963 and 6.056 Å, with angles of 112.00, 93.85 and 111.58 degrees. The asymmetric unit holds Hf at (0.012, 0.226, 0.227), Hf at (0.226, 0.765, 0.245), Hf at (0.369, 0.463, 0.750), Ga at (0.500, 0.000, 0.000) and S at (0.000, 0.000, 0.500).

The calculation puts the formation energy (no corrections) at -0.192 eV/atom. The total magnetic moment is 0.00 μB per formula unit.

=====

[6]
VASP calculation (PBE) on crystalline Ta6MoRu at its relaxed geometry.

The space group is I4/mmm (No. 139) and the conventional cell measures 4.568, 4.568 and 13.226 Å, with angles of 90.00, 90.00 and 90.00 degrees. The asymmetric unit holds Ta at (0.000, 0.000, 0.248), Ta at (0.000, 0.500, 0.120), Mo at (0.000, 0.000, 0.000) and Ru at (0.000, 0.000, 0.500).

The calculation puts the formation energy from the elements at -0.22 eV per atom. The total magnetic moment is 0.00 μB per formula unit.

=====

[7]
VASP calculation (PBE) on crystalline Pm2Sb4Au at its relaxed geometry.

The space group is P-4m2 (No. 115) and the conventional cell measures 4.472, 4.472 and 9.763 Å, with angles of 90.00, 90.00 and 90.00 degrees. The asymmetric unit holds Pm at (0.000, 0.500, 0.244), Sb at (0.000, 0.000, 0.500), Sb at (0.000, 0.500, 0.838), Sb at (0.500, 0.500, 0.500) and Au at (0.500, 0.500, 0.000).

The calculation puts the formation energy (no corrections) at -0.751 eV/atom. The total magnetic moment is 0.00 μB per formula unit.

=====

[8]
VASP calculation (PBE) on crystalline Rb3TcRh3S8 at its relaxed geometry.

The space group is R-3m (No. 166, hexagonal axes) and the conventional cell measures 7.3299, 7.3299 and 22.0612 Å, with angles of 90.00, 90.00 and 120.00 degrees. The asymmetric unit holds Rb at (0.0000, 0.5000, 0.0000), Tc at (0.0000, 0.0000, 0.5000), Rh at (0.0000, 0.5000, 0.5000), S at (0.0000, 0.0000, 0.2189) and S at (0.0057, 0.5029, 0.7785).

The calculation puts the formation energy (no corrections) at -0.642 eV/atom. The total magnetic moment is 2.89 μB per formula unit.

=====

[9]
VASP calculation (PBE) on crystalline K2NbF7 at its relaxed geometry.

The space group is C2/c (No. 15) and the conventional cell measures 13.741, 6.973 and 9.593 Å, with angles of 90.00, 129.20 and 90.00 degrees. The asymmetric unit holds K at (0.187, 0.075, 0.279), Nb at (0.000, 0.381, 0.750), F at (0.000, 0.089, 0.750), F at (0.098, 0.333, 0.010), F at (0.115, 0.391, 0.358) and F at (0.140, 0.309, 0.750).

Its polymorph energy (0 for the lowest one) is 1.73 kJ per mole of atoms. The calculation puts the formation energy (no corrections) at -3.068 eV/atom. The total magnetic moment is 0.04 μB per formula unit.

=====

[10]
VASP calculation (PBE) on crystalline ZnCr2MoPd at its relaxed geometry.

The space group is P4/mmm (No. 123) and the conventional cell measures 4.303, 4.303 and 4.535 Å, with angles of 90.00, 90.00 and 90.00 degrees. The asymmetric unit holds Zn at (0.000, 0.000, 0.000), Cr at (0.000, 0.500, 0.000), Mo at (0.000, 0.000, 0.500) and Pd at (0.500, 0.500, 0.500).

The calculation puts the formation energy from the elements at 1.66 eV per atom. The total magnetic moment is 0.00 μB per formula unit.

=====

[11]
VASP calculation (PBE) on crystalline K2CePrS4 at its relaxed geometry.

The space group is P2/m (No. 10) and the conventional cell measures 7.317, 4.229 and 7.769 Å, with angles of 90.00, 108.30 and 90.00 degrees. The asymmetric unit holds K at (0.000, 0.000, 0.000), K at (0.500, 0.500, 0.000), Ce at (0.000, 0.500, 0.500), Pr at (0.500, 0.000, 0.500), S at (0.234, 0.000, 0.707) and S at (0.262, 0.500, 0.292).

The calculation puts the formation energy (no corrections) at -1.815 eV/atom. The total magnetic moment is 1.01 μB per formula unit.

=====

[12]
VASP calculation (PBE) on crystalline K2ZnHgO at its relaxed geometry.

The space group is P4/mmm (No. 123) and the conventional cell measures 5.963, 5.963 and 3.947 Å, with angles of 90.00, 90.00 and 90.00 degrees. The asymmetric unit holds K at (0.000, 0.500, 0.000), Zn at (0.000, 0.000, 0.500), Hg at (0.500, 0.500, 0.500) and O at (0.000, 0.000, 0.000).

The calculation puts the formation energy (no corrections) at -0.555 eV/atom. The total magnetic moment is 0.00 μB per formula unit.

=====

Number 1: DOS at the Fermi energy 32.45 states/eV per cell. Number 2: DOS at the Fermi energy 1.11 states/eV per cell. Number 3: DOS at the Fermi energy 16.68 states/eV per cell. Number 4: DOS at the Fermi energy 1.91 states/eV per cell. Number 5: DOS at the Fermi energy 5.57 states/eV per cell. Number 6: DOS at the Fermi energy 10.51 states/eV per cell. Number 7: DOS at the Fermi energy 3.21 states/eV per cell. Number 8: DOS at the Fermi energy 8.77 states/eV per cell. Number 9: DOS at the Fermi energy 0.00 states/eV per cell. Number 10: DOS at the Fermi energy 6.75 states/eV per cell. Number 11: DOS at the Fermi energy 5.71 states/eV per cell. Number 12: DOS at the Fermi energy 2.42 states/eV per cell.